Material: Pa3Fe6Si5
Method: DFT, PBE
State: relaxed

Geometry as extended XYZ:
```
28
Lattice="3.994 0.000 0.000 0.000 9.024 0.000 0.000 0.000 11.681" Properties=species:S:1:pos:R:3 pbc="T T T"
Si 0.000 4.599 10.258
Si 1.997 4.425 4.417
Si 1.997 1.286 9.680
Si 0.000 7.738 7.842
Si 0.000 4.599 1.423
Si 1.997 1.286 2.001
Si 0.000 7.976 0.000
Si 0.000 7.738 3.839
Si 1.997 1.048 5.840
Si 1.997 4.425 7.264
Fe 0.000 5.390 3.570
Fe 0.000 0.107 1.979
Fe 1.997 3.634 9.411
Fe 1.997 3.634 2.270
Fe 0.000 5.390 8.111
Fe 0.000 0.107 9.701
Fe 1.997 0.115 0.000
Fe 1.997 8.917 3.861
Fe 0.000 8.909 5.840
Fe 0.000 4.250 5.840
Fe 1.997 4.774 0.000
Fe 1.997 8.917 7.820
Pa 0.000 2.265 7.787
Pa 1.997 6.919 5.840
Pa 1.997 6.759 9.734
Pa 1.997 6.759 1.947
Pa 0.000 2.105 0.000
Pa 0.000 2.265 3.894
```

Values from the calculation:
Volume ... 421.00 Å³ per cell
ρ ... 9.22 g/cm3
Energy relative to the elements, uncorrected ... -0.558 eV/atom
Space group ... Pmmn, No. 59